[1]
{
  "formula": "Ho4Tm2Tl3H2",
  "functional": "PBE-GGA",
  "state": "relaxed",
  "lattice": [[4.6988, 0.0000, 0.0000], [0.0000, 4.6988, 0.0000], [-2.3494, -2.3494, 12.1721]],
  "species": ["H", "Tl", "Ho", "Tl", "Ho", "Ho", "Ho", "H", "Tl", "Tm", "Tm"],
  "frac_coords": [[0.6029, 0.6029, 0.2058], [0.1753, 0.1753, 0.3505], [0.0851, 0.5851, 0.1703], [0.0000, 0.0000, 0.0000], [0.9149, 0.4149, 0.8297], [0.4149, 0.9149, 0.8297], [0.5851, 0.0851, 0.1703], [0.3971, 0.3971, 0.7942], [0.8247, 0.8247, 0.6495], [0.6975, 0.6975, 0.3951], [0.3025, 0.3025, 0.6049]],
  "dft_energy_ha_per_atom": -0.146,
  "space_group": "No. 139",
  "n_ef_per_ev_fu": 8.39
}

=====

[2]
{
  "formula": "La2AlBi2",
  "functional": "PBE-GGA",
  "state": "relaxed",
  "lattice": [[8.4730, 0.0000, 0.0000], [0.0000, 8.4730, 0.0000], [0.0000, 0.0000, 4.4799]],
  "species": ["La", "Al", "Al", "La", "Bi", "La", "Bi", "La", "Bi", "Bi"],
  "frac_coords": [[0.1581, 0.6581, 0.5000], [0.0000, 0.0000, 0.0000], [0.5000, 0.5000, 0.0000], [0.3419, 0.1581, 0.5000], [0.3496, 0.8496, 0.0000], [0.8419, 0.3419, 0.5000], [0.8496, 0.6504, 0.0000], [0.6581, 0.8419, 0.5000], [0.6504, 0.1504, 0.0000], [0.1504, 0.3496, 0.0000]],
  "space_group": "No. 127",
  "n_ef_per_ev_fu": 2.93,
  "formation_energy_ev_per_fu": -2.9,
  "de_polymorph_mev_per_atom": 0
}

=====

[3]
{
  "formula": "Ba3Zr2S7",
  "functional": "PBE-GGA",
  "state": "relaxed",
  "lattice": [[13.4020, -0.0021, 0.0000], [11.5063, 6.8716, 0.0000], [-12.4541, -3.4347, 3.5651]],
  "species": ["S", "S", "Ba", "S", "S", "Ba", "Zr", "S", "S", "Ba", "S", "Zr"],
  "frac_coords": [[0.4038, 0.9038, 0.5000], [0.3017, 0.3017, 0.0000], [0.1809, 0.1809, 0.0000], [0.0962, 0.5962, 0.5000], [0.5962, 0.0962, 0.5000], [0.0000, 0.0000, 0.0000], [0.3997, 0.3997, 0.0000], [0.6983, 0.6983, 0.0000], [0.5000, 0.5000, 0.0000], [0.8191, 0.8191, 0.0000], [0.9038, 0.4038, 0.5000], [0.6003, 0.6003, 0.0000]],
  "raw_formation_energy_kj_per_mol_atoms": -178.60,
  "space_group": "No. 139",
  "de_polymorph_mev_per_atom": 9
}

=====

[4]
{
  "formula": "CsSnSe2",
  "functional": "PBE-GGA",
  "state": "relaxed",
  "lattice": [[7.5897, 0.0000, 0.0000], [0.0000, 10.2737, 0.0000], [0.0000, 0.0000, 16.7175]],
  "species": ["Sn", "Se", "Sn", "Cs", "Sn", "Se", "Se", "Se", "Se", "Se", "Se", "Se", "Se", "Se", "Se", "Se", "Sn", "Cs", "Cs", "Cs", "Cs", "Se", "Se", "Sn", "Sn", "Cs", "Sn", "Cs", "Se", "Cs", "Sn", "Se"],
  "frac_coords": [[0.7500, 0.7434, 0.4227], [0.7500, 0.6724, 0.5706], [0.7500, 0.4111, 0.5424], [0.2500, 0.6724, 0.6851], [0.7500, 0.9111, 0.9576], [0.7500, 0.4850, 0.0948], [0.2500, 0.3276, 0.4294], [0.9908, 0.8595, 0.8424], [0.5092, 0.3595, 0.6576], [0.7500, 0.1724, 0.9294], [0.5092, 0.8595, 0.8424], [0.0092, 0.6405, 0.3424], [0.4908, 0.1405, 0.1576], [0.2500, 0.5150, 0.9052], [0.2500, 0.8276, 0.0706], [0.0092, 0.1405, 0.1576], [0.2500, 0.0889, 0.0424], [0.7500, 0.0227, 0.6300], [0.7500, 0.3276, 0.3149], [0.2500, 0.4773, 0.1300], [0.7500, 0.8276, 0.1851], [0.7500, 0.9850, 0.4052], [0.9908, 0.3595, 0.6576], [0.2500, 0.2566, 0.5773], [0.2500, 0.7566, 0.9227], [0.7500, 0.5227, 0.8700], [0.2500, 0.5889, 0.4576], [0.2500, 0.1724, 0.8149], [0.4908, 0.6405, 0.3424], [0.2500, 0.9773, 0.3700], [0.7500, 0.2434, 0.0773], [0.2500, 0.0150, 0.5948]],
  "raw_formation_energy_kj_per_mol_atoms": -79.81,
  "space_group": "No. 62"
}

=====

[5]
{
  "formula": "DySbPb2",
  "functional": "PBE-GGA",
  "state": "relaxed",
  "lattice": [[3.4981, 0.0000, 0.0000], [1.7491, 3.0295, 0.0000], [1.7491, 1.0098, 11.8907]],
  "species": ["Sb", "Dy", "Pb", "Pb"],
  "frac_coords": [[0.5000, 0.5000, 0.5000], [0.0000, 0.0000, 0.0000], [0.9109, 0.9109, 0.2672], [0.0891, 0.0891, 0.7328]],
  "raw_formation_energy_kj_per_mol_atoms": 18.37,
  "space_group": "No. 166",
  "n_ef_per_ev_fu": 3.24
}

=====

[6]
{
  "formula": "Na2GeF6",
  "functional": "PBE-GGA",
  "state": "relaxed",
  "lattice": [[-4.1754, -1.7722, -2.1140], [2.2695, -4.3870, -0.8049], [-3.0975, -3.2202, 8.8174]],
  "species": ["Ge", "Ge", "F", "F", "Na", "F", "Na", "F", "F", "F", "F", "F", "F", "F", "F", "Na", "Na", "F"],
  "frac_coords": [[0.0000, 0.0000, 0.0000], [0.5000, 0.5000, 0.5000], [0.2593, 0.2593, 0.0000], [0.8213, 0.1787, 0.1347], [0.0000, 0.0000, 0.6631], [0.1787, 0.8213, 0.1347], [0.5000, 0.5000, 0.1631], [0.7593, 0.2407, 0.5000], [0.1787, 0.8213, 0.8653], [0.8213, 0.1787, 0.8653], [0.6787, 0.6787, 0.6347], [0.3213, 0.3213, 0.3653], [0.2407, 0.7593, 0.5000], [0.7407, 0.7407, 0.0000], [0.6787, 0.6787, 0.3653], [0.5000, 0.5000, 0.8369], [0.0000, 0.0000, 0.3369], [0.3213, 0.3213, 0.6347]],
  "raw_formation_energy_kj_per_mol_atoms": -260.44,
  "space_group": "No. 136",
  "n_ef_per_ev_fu": 0.00,
  "de_polymorph_mev_per_atom": 8
}

=====

[7]
{
  "formula": "NaTbY",
  "functional": "PBE-GGA",
  "state": "relaxed",
  "lattice": [[-3.3196, 1.8743, 1.6350], [-1.7106, 0.2590, -3.7700], [-5.1027, -10.4322, 1.5987]],
  "species": ["Tb", "Na", "Y", "Na", "Tb", "Y"],
  "frac_coords": [[0.5000, 0.0000, 0.4270], [0.5000, 0.5000, 0.0000], [0.0000, 0.5000, 0.2622], [0.0000, 0.0000, 0.0000], [0.0000, 0.5000, 0.5730], [0.5000, 0.0000, 0.7378]],
  "space_group": "No. 129",
  "n_ef_per_ev_fu": 3.97,
  "formation_energy_ev_per_fu": 0.9,
  "de_polymorph_mev_per_atom": 157
}

=====

[8]
{
  "formula": "Ac2Be2RhO6",
  "functional": "PBE-GGA",
  "state": "relaxed",
  "lattice": [[5.4999, 0.0000, 0.0000], [-2.7499, 4.7630, 0.0000], [0.0000, 0.0000, 6.0133]],
  "species": ["Ac", "Ac", "Rh", "O", "Be", "O", "O", "O", "O", "O", "Be"],
  "frac_coords": [[0.6667, 0.3333, 0.7471], [0.3333, 0.6667, 0.2529], [0.0000, 0.0000, 0.0000], [0.3553, 0.2361, 0.2249], [0.3333, 0.6667, 0.7725], [0.1193, 0.3553, 0.7751], [0.2361, 0.8807, 0.7751], [0.8807, 0.6447, 0.2249], [0.6447, 0.7639, 0.7751], [0.7639, 0.1193, 0.2249], [0.6667, 0.3333, 0.2275]],
  "raw_formation_energy_kj_per_mol_atoms": -211.52,
  "space_group": "No. 147",
  "n_ef_per_ev_fu": 2.81
}

=====

[9]
{
  "formula": "ScHg2Rh",
  "functional": "PBE-GGA",
  "state": "relaxed",
  "lattice": [[-1.8917, 2.9767, 8.1827], [-1.5040, -0.2951, 8.7776], [1.1715, 1.7144, 8.6651]],
  "species": ["Rh", "Sc", "Hg", "Hg"],
  "frac_coords": [[0.4927, 0.4927, 0.4927], [0.7609, 0.7609, 0.7609], [0.2421, 0.2421, 0.2421], [0.0043, 0.0043, 0.0043]],
  "space_group": "No. 160",
  "n_ef_per_ev_fu": 2.19,
  "formation_energy_ev_per_fu": -1.0
}

=====

[10]
{
  "formula": "Ta3TcC",
  "functional": "PBE-GGA",
  "state": "relaxed",
  "lattice": [[4.2717, 0.0000, 0.0000], [0.0000, 4.2717, 0.0000], [0.0000, 0.0000, 4.2717]],
  "species": ["Tc", "Ta", "Ta", "C", "Ta"],
  "frac_coords": [[0.5000, 0.5000, 0.5000], [0.0000, 0.0000, 0.5000], [0.0000, 0.5000, 0.0000], [0.0000, 0.0000, 0.0000], [0.5000, 0.0000, 0.0000]],
  "space_group": "No. 221",
  "n_ef_per_ev_fu": 6.99,
  "formation_energy_ev_per_fu": -0.4,
  "de_polymorph_mev_per_atom": 0
}

=====

[11]
{
  "formula": "SnOs2AuC",
  "functional": "PBE-GGA",
  "state": "relaxed",
  "lattice": [[-4.6087, -1.5056, -1.0658], [-0.1088, -2.7024, 4.2879], [-1.8416, 3.9210, 2.4244]],
  "species": ["Os", "Au", "C", "Os", "Sn"],
  "frac_coords": [[0.0000, 0.0000, 0.5000], [0.0000, 0.5000, 0.0000], [0.5000, 0.5000, 0.5000], [0.5000, 0.0000, 0.0000], [0.0000, 0.0000, 0.0000]],
  "space_group": "No. 123",
  "n_ef_per_ev_fu": 6.54,
  "formation_energy_ev_per_fu": 17.1
}

=====

[12]
{
  "formula": "NaTiS2",
  "functional": "PBE-GGA",
  "state": "relaxed",
  "lattice": [[2.0149, 0.0000, 8.1660], [-1.0075, 1.7450, 8.1660], [-1.0075, -1.7450, 8.1660]],
  "species": ["S", "S", "Ti", "Na"],
  "frac_coords": [[0.1084, 0.1084, 0.1084], [0.8916, 0.8916, 0.8916], [0.5000, 0.5000, 0.5000], [0.0000, 0.0000, 0.0000]],
  "raw_formation_energy_kj_per_mol_atoms": -108.00,
  "space_group": "No. 166",
  "n_ef_per_ev_fu": 2.72
}